[1]
Entry from OQMD via LeMat-Bulk: a relaxed structure of Tb3Mg3Ga2Au (PBE-GGA).

Output
The total energy is -3.684 eV/atom. Its space group is P-62m, No. 189.

abc: 7.3739 7.3739 4.3595
angles: 90.00 90.00 120.00
Closest atoms and distances in Å follow each position.
Positions (direct):
1 Au 0.0000 0.0000 0.5000  6 Mg 2.83, 3 Tb 3.08
2 Ga 0.6667 0.3333 0.0000  3 Mg 2.84, 6 Tb 3.11
3 Ga 0.3333 0.6667 0.0000  3 Mg 2.84, 6 Tb 3.11
4 Mg 0.7559 0.0000 0.0000  2 Au 2.83, 2 Ga 2.84, 2 Mg 3.12
5 Mg 0.2441 0.2441 0.0000  2 Au 2.83, 2 Ga 2.84, 2 Mg 3.12
6 Mg 0.0000 0.7559 0.0000  2 Au 2.83, 2 Ga 2.84, 2 Mg 3.12
7 Tb 0.4175 0.0000 0.5000  1 Au 3.08, 4 Ga 3.11, 2 Mg 3.31
8 Tb 0.0000 0.4175 0.5000  1 Au 3.08, 4 Ga 3.11, 2 Mg 3.31
9 Tb 0.5825 0.5825 0.5000  1 Au 3.08, 4 Ga 3.11, 2 Mg 3.31



[2]
Entry from OQMD via LeMat-Bulk: a relaxed structure of Tm3Mg3GaAu2 (PBE-GGA).

Output
The total energy is -3.663 eV/atom. Its space group is P-62m, No. 189.

abc: 7.5052 7.5052 4.0904
angles: 90.00 90.00 120.00
Closest atoms and distances in Å follow each position.
Positions (direct):
1 Au 0.6667 0.3333 0.5000  3 Mg 2.88, 6 Tm 3.05
2 Au 0.3333 0.6667 0.5000  3 Mg 2.88, 6 Tm 3.05
3 Ga 0.0000 0.0000 0.0000  6 Mg 2.76
4 Mg 0.2472 0.0000 0.5000  2 Ga 2.76, 2 Au 2.88
5 Mg 0.0000 0.2472 0.5000  2 Ga 2.76, 2 Au 2.88
6 Mg 0.7528 0.7528 0.5000  2 Ga 2.76, 2 Au 2.88
7 Tm 0.5860 0.0000 0.0000  4 Au 3.05, 1 Ga 3.11, 6 Mg 3.26-3.39
8 Tm 0.4140 0.4140 0.0000  4 Au 3.05, 1 Ga 3.11, 6 Mg 3.26-3.39
9 Tm 0.0000 0.5860 0.0000  4 Au 3.05, 1 Ga 3.11, 6 Mg 3.26-3.39



- What is the total energy in the second record?
  -3.663 eV/atom



- Look up the total energy of the second one.
  -3.663 eV/atom



- Which of these has the lowest total energy?
  Tb3Mg3Ga2Au



- Which value of total energy does entry 2 give?
  -3.663 eV/atom